Record 1
FeNi2Br after structural relaxation. Source: Alexandria, functional PBE-GGA.

Calculated values
The calculation puts the energy above the most stable polymorph in this dataset at 340 meV/atom. For the density of states at the Fermi level, the calculation gives 3.5 states/eV/cell.

Unit cell a=3.1497 b=4.0468 c=4.2682 alpha=90.00 beta=90.00 gamma=90.00
Last column: nearest neighbours and their distance in Å.
Atoms (fractional coordinates):
Fe 0.0000 0.0000 0.0000  4 Ni 2.56, 4 Br 2.65
Ni 0.0000 0.5000 0.5000  4 Br 2.56, 4 Ni 2.65
Ni 0.5000 0.5000 0.0000  4 Fe 2.56, 4 Ni 2.65
Br 0.5000 0.0000 0.5000  4 Ni 2.56, 4 Fe 2.65


Record 2
Ag2GeTeSe4 after structural relaxation. Source: Alexandria, functional PBE-GGA.

Calculated values
As for the total energy: -3.5419 eV per atom.

Unit cell a=5.8993 b=6.0123 c=7.1132 alpha=106.52 beta=97.45 gamma=91.95
Last column: nearest neighbours and their distance in Å.
Atoms (fractional coordinates):
Ag 0.0000 0.0000 0.0000  4 Se 2.64-2.83
Ag 0.3992 0.9352 0.7530  2 Se 2.50-2.51
Ge 0.4641 0.5191 0.0246  4 Se 2.42-2.46
Te 0.5042 0.2107 0.4556  2 Se 2.61-2.73
Se 0.1509 0.2721 0.8026  1 Ge 2.42, 2 Ag 2.51-2.64
Se 0.2562 0.8063 0.2393  1 Ge 2.44, 1 Ag 2.67
Se 0.6782 0.6441 0.8001  1 Ge 2.42, 1 Ag 2.50
Se 0.7436 0.3470 0.2185  1 Ge 2.46, 1 Te 2.61


Record 3
K2ZnF after structural relaxation. Source: Alexandria, functional PBE-GGA.

Calculated values
The calculation puts the energy above the most stable polymorph in this dataset at 466 meV/atom. For the density of states at the Fermi level, the calculation gives 2.1 states/eV/cell.

Unit cell a=5.5564 b=5.5564 c=5.5564 alpha=60.00 beta=60.00 gamma=60.00
Last column: nearest neighbours and their distance in Å.
Atoms (fractional coordinates):
K 0.2500 0.2500 0.2500  4 F 3.40, 4 Zn 3.40
K 0.7500 0.7500 0.7500  4 F 3.40, 4 Zn 3.40
Zn 0.0000 0.0000 0.0000  8 K 3.40
F 0.5000 0.5000 0.5000  8 K 3.40


Record 4
TaBe2BiI after structural relaxation. Source: Alexandria, functional PBE-GGA.

Calculated values
For the density of states at the Fermi level, the calculation gives 4.2 states/eV/cell. As for the total energy: -3.0560 eV per atom.

Unit cell a=4.4878 b=4.4878 c=8.0131 alpha=90.00 beta=90.00 gamma=90.00
Last column: nearest neighbours and their distance in Å.
Atoms (fractional coordinates):
Ta 0.0000 0.0000 0.0000  4 I 3.17
Be 0.0000 0.5000 0.5000  2 Bi 2.24
Be 0.5000 0.0000 0.5000  2 Bi 2.24
Bi 0.5000 0.5000 0.5000  4 Be 2.24
I 0.5000 0.5000 0.0000  4 Ta 3.17


Record 5
Th5CoSe4 after structural relaxation. Source: Alexandria, functional PBE-GGA.

Calculated values
For the density of states at the Fermi level, the calculation gives 7.7 states/eV/cell. As for the total energy: -7.1294 eV per atom.

Unit cell a=7.2601 b=7.2601 c=7.2601 alpha=99.64 beta=99.64 gamma=131.70
Last column: nearest neighbours and their distance in Å.
Atoms (fractional coordinates):
Th 0.0000 0.0000 0.0000  2 Co 2.97, 4 Se 3.00
Th 0.2235 0.4015 0.6250  1 Co 2.75, 5 Se 2.99-3.06
Th 0.4015 0.7765 0.1780  1 Co 2.75, 5 Se 2.99-3.06
Th 0.5985 0.2235 0.8220  1 Co 2.75, 5 Se 2.99-3.06
Th 0.7765 0.5985 0.3750  1 Co 2.75, 5 Se 2.99-3.06
Co 0.5000 0.5000 0.0000  6 Th 2.75-2.97
Se 0.0898 0.6923 0.7820  6 Th 2.99-3.06
Se 0.3077 0.0898 0.3975  6 Th 2.99-3.06
Se 0.6923 0.9102 0.6025  6 Th 2.99-3.06
Se 0.9102 0.3077 0.2180  6 Th 2.99-3.06


Record 6
TlSe2S after structural relaxation. Source: Alexandria, functional PBE-GGA.

Calculated values
The calculation puts the energy above the most stable polymorph in this dataset at 0 meV/atom. For the density of states at the Fermi level, the calculation gives 1.9 states/eV/cell.

Unit cell a=8.8127 b=8.8127 c=5.7625 alpha=100.52 beta=100.52 gamma=136.44
Last column: nearest neighbours and their distance in Å.
Atoms (fractional coordinates):
Tl 0.1647 0.8353 0.5000  3 S 3.31-3.54, 6 Se 3.42-3.70
Tl 0.8353 0.1647 0.0000  3 S 3.31-3.54, 6 Se 3.42-3.70
Se 0.3981 0.5541 0.5516  1 S 2.24, 1 Se 2.51
Se 0.4584 0.7635 0.2700  1 S 2.37, 1 Se 2.51
Se 0.5541 0.3981 0.0516  1 S 2.24, 1 Se 2.51
Se 0.7635 0.4584 0.7700  1 S 2.37, 1 Se 2.51
S 0.2306 0.5581 0.7990  2 Se 2.24-2.37
S 0.5581 0.2306 0.2990  2 Se 2.24-2.37


Record 7
Tb2ThSe after structural relaxation. Source: Alexandria, functional PBE-GGA.

Calculated values
The calculation puts the energy above the most stable polymorph in this dataset at 106 meV/atom. For the density of states at the Fermi level, the calculation gives 2.7 states/eV/cell.

Unit cell a=3.6182 b=3.6182 c=8.4664 alpha=90.00 beta=90.00 gamma=90.00
Last column: nearest neighbours and their distance in Å.
Atoms (fractional coordinates):
Tb 0.0000 0.0000 0.2118  4 Se 3.12
Tb 0.0000 0.0000 0.7882  4 Se 3.12
Th 0.5000 0.5000 0.5000  8 Tb 3.54, 4 Th 3.62
Se 0.5000 0.5000 0.0000  8 Tb 3.12


Record 8
MgTl3Cl after structural relaxation. Source: Alexandria, functional PBE-GGA.

Calculated values
The calculation puts the energy above the most stable polymorph in this dataset at 0 meV/atom. For the density of states at the Fermi level, the calculation gives 3.0 states/eV/cell.

Unit cell a=5.6339 b=5.6339 c=5.6339 alpha=90.00 beta=90.00 gamma=90.00
Last column: nearest neighbours and their distance in Å.
Atoms (fractional coordinates):
Mg 0.0000 0.0000 0.0000  6 Tl 2.82
Tl 0.0000 0.0000 0.5000  2 Mg 2.82
Tl 0.0000 0.5000 0.0000  2 Mg 2.82
Tl 0.5000 0.0000 0.0000  2 Mg 2.82
Cl 0.5000 0.5000 0.5000  12 Tl 3.98


Record 9
YZnPd after structural relaxation. Source: Alexandria, functional PBE-GGA.

Calculated values
The formation enthalpy at 0 K comes out at -0.5501 eV per atom. For the density of states at the Fermi level, the calculation gives 1.5 states/eV/cell.

Unit cell a=4.5832 b=4.5832 c=4.5832 alpha=60.00 beta=60.00 gamma=60.00
Last column: nearest neighbours and their distance in Å.
Atoms (fractional coordinates):
Y 0.0000 0.0000 0.0000  4 Pd 2.81
Zn 0.5000 0.5000 0.5000  4 Pd 2.81
Pd 0.2500 0.2500 0.2500  4 Zn 2.81, 4 Y 2.81


Record 10
AcHo2Si4 after structural relaxation. Source: Alexandria, functional PBE-GGA.

Calculated values
For the density of states at the Fermi level, the calculation gives 3.8 states/eV/cell. As for the total energy: -5.6957 eV per atom.

Unit cell a=9.3126 b=9.3126 c=9.3126 alpha=155.57 beta=152.28 gamma=37.28
Last column: nearest neighbours and their distance in Å.
Atoms (fractional coordinates):
Ac 0.0000 0.0000 0.0000  12 Si 3.22-3.50
Ho 0.1832 0.6832 0.5000  7 Si 2.90-3.02
Ho 0.8168 0.3168 0.5000  7 Si 2.90-3.02
Si 0.3474 0.8474 0.5000  2 Si 2.45
Si 0.4299 0.4299 0.0000  3 Si 2.45-2.47
Si 0.5701 0.5701 0.0000  3 Si 2.45-2.47
Si 0.6526 0.1526 0.5000  2 Si 2.45


Record 11
AlTl2F4 after structural relaxation. Source: Alexandria, functional PBE-GGA.

Calculated values
For the density of states at the Fermi level, the calculation gives 1.8 states/eV/cell. As for the total energy: -4.7323 eV per atom.

Unit cell a=9.3872 b=9.3872 c=9.3872 alpha=157.38 beta=157.38 gamma=32.20
Last column: nearest neighbours and their distance in Å.
Atoms (fractional coordinates):
Al 0.0000 0.0000 0.0000  6 F 1.80-1.84
Tl 0.3174 0.3174 0.0000  4 F 3.00
Tl 0.6826 0.6826 0.0000  4 F 3.00
F 0.0000 0.5000 0.5000  2 Al 1.84
F 0.0999 0.0999 0.0000  1 Al 1.80
F 0.5000 0.0000 0.5000  2 Al 1.84
F 0.9001 0.9001 0.0000  1 Al 1.80


Record 12
V2Co3Pt3 after structural relaxation. Source: Alexandria, functional PBE-GGA.

Calculated values
The formation enthalpy at 0 K comes out at -0.3425 eV per atom. For the density of states at the Fermi level, the calculation gives 5.8 states/eV/cell.

Unit cell a=3.7443 b=3.7679 c=7.4298 alpha=90.00 beta=90.00 gamma=90.00
Last column: nearest neighbours and their distance in Å.
Atoms (fractional coordinates):
V 0.0000 0.0000 0.2359  6 Co 2.56-2.72, 6 Pt 2.66-2.71
V 0.0000 0.0000 0.7641  6 Co 2.56-2.72, 6 Pt 2.66-2.71
Co 0.0000 0.5000 0.0000  4 V 2.57, 4 Pt 2.59, 4 Co 2.66
Co 0.0000 0.5000 0.5000  8 Pt 2.66-2.69, 4 V 2.72
Co 0.5000 0.0000 0.0000  4 V 2.56, 4 Pt 2.60, 4 Co 2.66
Pt 0.5000 0.0000 0.5000  4 Co 2.66, 4 Pt 2.70, 4 V 2.71
Pt 0.5000 0.5000 0.2405  6 Co 2.59-2.69, 4 V 2.66, 2 Pt 2.70
Pt 0.5000 0.5000 0.7595  6 Co 2.59-2.69, 4 V 2.66, 2 Pt 2.70


Record 13
PuTl6 after structural relaxation. Source: Alexandria, functional PBE-GGA.

Calculated values
The formation enthalpy at 0 K comes out at 0.5512 eV per atom. For the density of states at the Fermi level, the calculation gives 24.9 states/eV/cell.

Unit cell a=7.2712 b=7.2712 c=7.2712 alpha=109.47 beta=109.47 gamma=109.47
Last column: nearest neighbours and their distance in Å.
Atoms (fractional coordinates):
Pu 0.0000 0.0000 0.0000  24 Tl 4.69
Tl 0.2500 0.5000 0.7500  4 Tl 2.97
Tl 0.2500 0.7500 0.5000  4 Tl 2.97
Tl 0.5000 0.2500 0.7500  4 Tl 2.97
Tl 0.5000 0.7500 0.2500  4 Tl 2.97
Tl 0.7500 0.2500 0.5000  4 Tl 2.97
Tl 0.7500 0.5000 0.2500  4 Tl 2.97


Record 14
Pm2Dy2AlGa4 after structural relaxation. Source: Alexandria, functional PBE-GGA.

Calculated values
The formation enthalpy at 0 K comes out at -0.2359 eV per atom. For the density of states at the Fermi level, the calculation gives 5.9 states/eV/cell.

Unit cell a=6.6950 b=6.6950 c=6.6950 alpha=116.58 beta=116.58 gamma=96.04
Last column: nearest neighbours and their distance in Å.
Atoms (fractional coordinates):
Pm 0.1890 0.1890 0.0000  1 Al 2.79, 4 Ga 3.03
Pm 0.8110 0.8110 0.0000  1 Al 2.79, 4 Ga 3.03
Dy 0.2500 0.7500 0.5000  8 Ga 3.35, 4 Pm 3.56
Dy 0.7500 0.2500 0.5000  8 Ga 3.35, 4 Pm 3.56
Al 0.5000 0.5000 0.0000  4 Ga 2.46
Ga 0.2527 0.2527 0.5053  1 Al 2.46
Ga 0.2527 0.7473 0.0000  1 Al 2.46
Ga 0.7473 0.2527 0.0000  1 Al 2.46
Ga 0.7473 0.7473 0.4947  1 Al 2.46


Record 15
PuGa2Fe after structural relaxation. Source: Alexandria, functional PBE-GGA.

Calculated values
The formation enthalpy at 0 K comes out at -0.1810 eV per atom. For the density of states at the Fermi level, the calculation gives 5.6 states/eV/cell.

Unit cell a=2.9917 b=2.9917 c=7.2900 alpha=90.00 beta=90.00 gamma=90.00
Last column: nearest neighbours and their distance in Å.
Atoms (fractional coordinates):
Pu 0.0000 0.0000 0.0000  4 Pu 2.99, 8 Ga 3.10
Ga 0.5000 0.5000 0.3107  4 Fe 2.53, 1 Ga 2.76
Ga 0.5000 0.5000 0.6893  4 Fe 2.53, 1 Ga 2.76
Fe 0.0000 0.0000 0.5000  8 Ga 2.53


Record 16
PmEr3Tc after structural relaxation. Source: Alexandria, functional PBE-GGA.

Calculated values
The calculation puts the energy above the most stable polymorph in this dataset at 0 meV/atom. The formation enthalpy at 0 K comes out at -0.0776 eV per atom. For the density of states at the Fermi level, the calculation gives 10.1 states/eV/cell.

Unit cell a=8.5958 b=3.7585 c=8.7190 alpha=90.00 beta=102.05 gamma=90.00
Last column: nearest neighbours and their distance in Å.
Atoms (fractional coordinates):
Pm 0.1699 0.2500 0.0127  4 Pm 3.44-3.76, 8 Er 3.51-3.80
Pm 0.8301 0.7500 0.9873  4 Pm 3.44-3.76, 8 Er 3.51-3.80
Er 0.0254 0.7500 0.6631  3 Tc 2.92-3.00
Er 0.3437 0.7500 0.3883  2 Tc 2.81
Er 0.4222 0.7500 0.8171  2 Tc 2.82
Er 0.5778 0.2500 0.1829  2 Tc 2.82
Er 0.6563 0.2500 0.6117  2 Tc 2.81
Er 0.9746 0.2500 0.3369  3 Tc 2.92-3.00
Tc 0.2633 0.2500 0.5979  7 Er 2.81-3.00
Tc 0.7367 0.7500 0.4021  7 Er 2.81-3.00


Record 17
Rb3Pr2PaTe6 after structural relaxation. Source: Alexandria, functional PBE-GGA.

Calculated values
For the density of states at the Fermi level, the calculation gives 8.6 states/eV/cell. As for the total energy: -4.6334 eV per atom.

Unit cell a=7.9902 b=7.9902 c=9.0261 alpha=98.49 beta=98.49 gamma=119.99
Last column: nearest neighbours and their distance in Å.
Atoms (fractional coordinates):
Rb 0.0000 0.0000 0.0000  6 Te 3.65-3.73
Rb 0.3303 0.6697 0.0000  6 Te 3.65-3.70
Rb 0.6697 0.3303 0.0000  6 Te 3.65-3.70
Pr 0.1662 0.8338 0.5000  6 Te 3.23-3.24
Pr 0.8338 0.1662 0.5000  6 Te 3.23-3.24
Pa 0.5000 0.5000 0.5000  6 Te 3.14
Te 0.1071 0.4315 0.2939  1 Pa 3.14, 2 Pr 3.23-3.24
Te 0.2452 0.2452 0.7071  1 Pa 3.14, 2 Pr 3.23
Te 0.4315 0.1071 0.2939  1 Pa 3.14, 2 Pr 3.23-3.24
Te 0.5685 0.8929 0.7061  1 Pa 3.14, 2 Pr 3.23-3.24
Te 0.7548 0.7548 0.2929  1 Pa 3.14, 2 Pr 3.23
Te 0.8929 0.5685 0.7061  1 Pa 3.14, 2 Pr 3.23-3.24